VASP calculation (GGA-PBE) on crystalline MnIn2I6 at its relaxed geometry.

Calculated values
Distance to the lowest polymorph of the same formula (meV/atom): 3.9

a b c (Å): 7.4499 7.4499 9.3570
angles (deg): 66.54 66.54 60.00
Each line ends with the local moment (μB).
Element x y z (fractional)
Mn 0.3516 0.3516 0.9451  4.33
In 0.6856 0.6856 0.9433  0.01
In 0.5201 0.5201 0.4398  0.01
I 0.7324 0.4318 0.7445  0.04
I 0.0913 0.7324 0.7445  0.04
I 0.4318 0.0913 0.7445  0.04
I 0.3000 0.5967 0.1471  0.03
I 0.9563 0.3000 0.1471  0.03
I 0.5967 0.9563 0.1471  0.03

VASP calculation (GGA-PBE) on crystalline MnInI6 at its relaxed geometry.

Calculated values
Distance to the lowest polymorph of the same formula (meV/atom): 0.0
Fermi-level density of states (states/eV per atom): 0.18

a b c (Å): 8.4559 7.4340 7.4758
angles (deg): 100.02 106.34 124.86
Each line ends with the local moment (μB).
Element x y z (fractional)
Mn 0.0000 0.0000 0.0000  3.68
In 0.5000 0.0000 0.0000  0.02
I 0.9333 0.1514 0.2952  -0.02
I 0.6380 0.8562 0.7048  -0.02
I 0.3620 0.1438 0.2952  -0.02
I 0.0667 0.8486 0.7048  -0.02
I 0.2697 0.5376 0.0000  0.03
I 0.7303 0.4624 0.0000  0.03

VASP calculation (GGA-PBE) on crystalline MnInI3 at its relaxed geometry.

Calculated values
Distance to the lowest polymorph of the same formula (meV/atom): 0.0

a b c (Å): 6.2121 8.7470 8.7477
angles (deg): 74.54 89.78 89.80
Each line ends with the local moment (μB).
Element x y z (fractional)
Mn 0.7422 0.6234 0.7199  4.28
Mn 0.7422 0.2812 0.0621  4.28
In 0.8647 0.1701 0.6094  0.01
In 0.6203 0.7335 0.1734  0.01
I 0.4955 0.3496 0.7883  0.08
I 0.9892 0.5549 0.9937  0.08
I 0.5059 0.2877 0.3128  0.05
I 0.5059 0.8739 0.7263  0.05
I 0.9786 0.0305 0.0557  0.05
I 0.9788 0.6171 0.4694  0.05

VASP calculation (GGA-PBE) on crystalline MnIn2I5 at its relaxed geometry.

a b c (Å): 8.7527 8.2801 7.8401
angles (deg): 122.02 123.93 90.00
Each line ends with the local moment (μB).
Element x y z (fractional)
Mn 0.9860 0.9722 0.9721  3.73
In 0.2081 0.6997 0.4161  0.01
In 0.7510 0.3427 0.5021  0.01
I 0.8171 0.2438 0.0601  -0.03
I 0.2430 0.2438 0.0601  -0.03
I 0.8137 0.7884 0.0569  -0.03
I 0.2432 0.7884 0.0568  -0.03
I 0.7149 0.6979 0.4298  0.03

VASP calculation (GGA-PBE) on crystalline MnInI at its relaxed geometry.

Calculated values
Fermi-level density of states (states/eV per atom): 0.66

a b c (Å): 3.7960 5.5677 7.9615
angles (deg): 97.27 103.81 90.01
Each line ends with the local moment (μB).
Element x y z (fractional)
Mn 0.9110 0.5596 0.3331  3.46
Mn 0.5062 0.8975 0.5242  3.83
In 0.2793 0.5160 0.0702  -0.03
In 0.8636 0.0311 0.2391  -0.07
I 0.5290 0.4122 0.5683  0.04
I 0.1524 0.9637 0.8143  0.03

VASP calculation (GGA-PBE) on crystalline MnIn3I at its relaxed geometry.

Calculated values
Distance to the lowest polymorph of the same formula (meV/atom): 0.0
Fermi-level density of states (states/eV per atom): 0.75

a b c (Å): 5.3008 5.3008 5.3008
angles (deg): 90.00 90.00 90.00
Each line ends with the local moment (μB).
Element x y z (fractional)
I 0.5000 0.5000 0.5000  0.07
Mn 0.0000 0.0000 0.0000  2.77
In 0.0000 0.5000 0.0000  -0.06
In 0.0000 0.0000 0.5000  0.01
In 0.5000 0.0000 0.0000  -0.07

In order of appearance, energy relative to the elements, uncorrected = -3.95, -2.54, -2.13, -2.98, 0.49, 0.69 eV per formula unit.
In order of appearance, electronic total energy = -27.89, -23.75, -18.69, -25.38, -12.97, -18.24 eV/f.u..